First-principles (GGA+U) data for a relaxed structure of KCaTbFeO6, as listed in Alexandria.

Properties
The calculation puts the total energy at -6.166 eV/atom. As for the density: 4.79 Mg/m³. Its space group is No. 216.

abc: 5.7598 5.7598 5.7598
angles: 60.00 60.00 60.00
With the nearest neighbours (Å) after each atom.
Sites, in units of the cell vectors:
O  0.2286  0.7714  0.7714  1 Fe 1.86
O  0.2286  0.2286  0.7714  1 Fe 1.86
Ca  0.7500  0.7500  0.7500  12 O 2.89
O  0.2286  0.7714  0.2286  1 Fe 1.86
O  0.7714  0.7714  0.2286  1 Fe 1.86
O  0.7714  0.2286  0.2286  1 Fe 1.86
Fe  0.0000  0.0000  0.0000  6 O 1.86
O  0.7714  0.2286  0.7714  1 Fe 1.86
Tb  0.5000  0.5000  0.5000  6 O 2.21
K  0.2500  0.2500  0.2500  12 O 2.89